# LiCoC2O6

Crystalline LiCoC2O6 at its relaxed geometry (PBE with a Hubbard U, Alexandria).

abc: 4.9416 4.9416 6.0313
angles: 105.63 105.63 60.24
Closest atoms and distances in Å follow each position.
Element x y z (fractional)
Li  0.0000  0.0000  0.0000  4 O 2.04
Co  0.0000  0.0000  0.5000  6 O 1.98-2.05
C  0.3944  0.3944  0.7111  3 O 1.27-1.30
C  0.6056  0.6056  0.2889  3 O 1.27-1.30
O  0.2392  0.2392  0.6683  1 C 1.27
O  0.2502  0.7011  0.7406  1 C 1.30
O  0.2989  0.7498  0.2594  1 C 1.30
O  0.7011  0.2502  0.7406  1 C 1.30
O  0.7498  0.2989  0.2594  1 C 1.30
O  0.7608  0.7608  0.3317  1 C 1.27

Values from the calculation:
Magnetization   4.01 μB/f.u.
Offset from the most stable computed form   0.062 eV per atom